CrRu2I | the Alexandria database | PBE | optimized geometry; ΔE_f (raw) = 967 meV/atom; energy above the lowest structure with this stoichiometry = 0.147 eV/atom; energy = -51.7 eV/cell; M_tot = 0.557 μB per formula unit
1.0
5.5436 0.0000 0.0000
0.0000 5.5436 0.0000
2.7718 2.7718 5.6889
I Ru Cr
2 4 2
Direct
0.0000 0.0000 0.0000 I
0.7500 0.2500 0.5000 I
0.5688 0.1250 0.2500 Ru
0.1812 0.6250 0.2500 Ru
0.3750 0.4312 0.7500 Ru
0.8750 0.8188 0.7500 Ru
0.5000 0.5000 0.0000 Cr
0.2500 0.7500 0.5000 Cr

***

MgTl2Au | the Alexandria database | PBE | optimized geometry; energy above the lowest structure with this stoichiometry = 0.176 eV/atom; energy = -9.6 eV/cell; energy of formation = 0.009 eV/atom; M_tot = 0.000 μB per formula unit
1.0
9.2540 0.0048 0.0028
8.5674 3.4981 0.0028
8.5674 1.6839 3.0661
Au Mg Tl
1 1 2
Direct
0.2500 0.2500 0.2500 Au
0.7500 0.7500 0.7500 Mg
0.9953 0.9953 0.9953 Tl
0.5047 0.5047 0.5047 Tl

***

The highest energy above the lowest structure with this stoichiometry belongs to which entry?
MgTl2Au

***

What did the second record say?
MgTl2Au | the Alexandria database | PBE | optimized geometry; energy above the lowest structure with this stoichiometry = 0.176 eV/atom; energy = -9.6 eV/cell; energy of formation = 0.009 eV/atom; M_tot = 0.000 μB per formula unit
1.0
9.2540 0.0048 0.0028
8.5674 3.4981 0.0028
8.5674 1.6839 3.0661
Au Mg Tl
1 1 2
Direct
0.2500 0.2500 0.2500 Au
0.7500 0.7500 0.7500 Mg
0.9953 0.9953 0.9953 Tl
0.5047 0.5047 0.5047 Tl